1.
VASP calculation (PBE-GGA) on a relaxed PuNi4SnP2 crystal.

Computed properties:
Density of states at the Fermi level in states/eV per cell: 12.2
DFT total energy in eV/cell: -56.58
Size of the total moment in μB per formula unit: 5.10
Space group: P4/mmm

Geometry as CIF:
```
data_PuNi4SnP2
_symmetry_space_group_name_H-M 'P 1'
_symmetry_Int_Tables_number 1
_symmetry_space_group_name_Hall 'P 1'
_cell_length_a 3.756
_cell_length_b 3.756
_cell_length_c 8.564
_cell_angle_alpha 90.00
_cell_angle_beta 90.00
_cell_angle_gamma 90.00
loop_
_atom_site_label
_atom_site_fract_x
_atom_site_fract_y
_atom_site_fract_z
Pu1 0.000 0.000 0.000
Ni1 0.000 0.500 0.283
Ni2 0.000 0.500 0.717
Ni3 0.500 0.000 0.283
Ni4 0.500 0.000 0.717
Sn1 0.000 0.000 0.500
P1 0.500 0.500 0.140
P2 0.500 0.500 0.860
```

---

2.
VASP calculation (PBE-GGA) on a relaxed TbPuNi2P2 crystal.

Computed properties:
Density of states at the Fermi level in states/eV per cell: 11.0
DFT total energy in eV/cell: -47.73
Size of the total moment in μB per formula unit: 5.22
Space group: P-3m1

Geometry as CIF:
```
data_TbPuNi2P2
_symmetry_space_group_name_H-M 'P 1'
_symmetry_Int_Tables_number 1
_symmetry_space_group_name_Hall 'P 1'
_cell_length_a 3.905
_cell_length_b 3.905
_cell_length_c 7.801
_cell_angle_alpha 90.00
_cell_angle_beta 90.00
_cell_angle_gamma 120.00
loop_
_atom_site_label
_atom_site_fract_x
_atom_site_fract_y
_atom_site_fract_z
Tb1 0.000 0.000 0.000
Pu1 0.000 0.000 0.500
Ni1 0.333 0.667 0.252
Ni2 0.667 0.333 0.748
P1 0.333 0.667 0.752
P2 0.667 0.333 0.248
```

---

3.
VASP calculation (PBE-GGA) on a relaxed PuThNi2P2 crystal.

Computed properties:
Density of states at the Fermi level in states/eV per cell: 11.8
DFT total energy in eV/cell: -50.52
Size of the total moment in μB per formula unit: 5.35
Space group: P-3m1

Geometry as CIF:
```
data_PuThNi2P2
_symmetry_space_group_name_H-M 'P 1'
_symmetry_Int_Tables_number 1
_symmetry_space_group_name_Hall 'P 1'
_cell_length_a 3.944
_cell_length_b 3.944
_cell_length_c 7.952
_cell_angle_alpha 90.00
_cell_angle_beta 90.00
_cell_angle_gamma 120.00
loop_
_atom_site_label
_atom_site_fract_x
_atom_site_fract_y
_atom_site_fract_z
Pu1 0.000 0.000 0.000
Th1 0.000 0.000 0.500
Ni1 0.333 0.667 0.257
Ni2 0.667 0.333 0.743
P1 0.333 0.667 0.761
P2 0.667 0.333 0.239
```

---

4.
VASP calculation (PBE-GGA) on a relaxed PuTi2NiP4 crystal.

Computed properties:
Density of states at the Fermi level in states/eV per cell: 16.9
DFT total energy in eV/cell: -129.87
Size of the total moment in μB per formula unit: 4.28
Space group: Cmcm

Geometry as CIF:
```
data_PuTi2NiP4
_symmetry_space_group_name_H-M 'P 1'
_symmetry_Int_Tables_number 1
_symmetry_space_group_name_Hall 'P 1'
_cell_length_a 6.248
_cell_length_b 6.248
_cell_length_c 12.279
_cell_angle_alpha 90.00
_cell_angle_beta 90.00
_cell_angle_gamma 146.05
loop_
_atom_site_label
_atom_site_fract_x
_atom_site_fract_y
_atom_site_fract_z
Pu1 0.121 0.879 0.750
Pu2 0.879 0.121 0.250
Ti1 0.370 0.630 0.560
Ti2 0.370 0.630 0.940
Ti3 0.630 0.370 0.060
Ti4 0.630 0.370 0.440
Ni1 0.148 0.852 0.250
Ni2 0.852 0.148 0.750
P1 0.000 0.000 0.000
P2 0.000 0.000 0.500
P3 0.269 0.731 0.115
P4 0.269 0.731 0.385
P5 0.451 0.549 0.750
P6 0.549 0.451 0.250
P7 0.731 0.269 0.615
P8 0.731 0.269 0.885
```

---

5.
VASP calculation (PBE-GGA) on a relaxed YPuNi2P2 crystal.

Computed properties:
Density of states at the Fermi level in states/eV per cell: 10.9
DFT total energy in eV/cell: -49.57
Size of the total moment in μB per formula unit: 5.23
Space group: P-3m1

Geometry as CIF:
```
data_YPuNi2P2
_symmetry_space_group_name_H-M 'P 1'
_symmetry_Int_Tables_number 1
_symmetry_space_group_name_Hall 'P 1'
_cell_length_a 3.899
_cell_length_b 3.899
_cell_length_c 7.805
_cell_angle_alpha 90.00
_cell_angle_beta 90.00
_cell_angle_gamma 120.00
loop_
_atom_site_label
_atom_site_fract_x
_atom_site_fract_y
_atom_site_fract_z
Y1 0.000 0.000 0.000
Pu1 0.000 0.000 0.500
Ni1 0.333 0.667 0.252
Ni2 0.667 0.333 0.748
P1 0.333 0.667 0.753
P2 0.667 0.333 0.247
```

---

6.
VASP calculation (PBE-GGA) on a relaxed Pu2ZnNi3P4 crystal.

Computed properties:
Density of states at the Fermi level in states/eV per cell: 19.8
DFT total energy in eV/cell: -76.38
Size of the total moment in μB per formula unit: 10.45
Space group: P-4m2

Geometry as CIF:
```
data_Pu2ZnNi3P4
_symmetry_space_group_name_H-M 'P 1'
_symmetry_Int_Tables_number 1
_symmetry_space_group_name_Hall 'P 1'
_cell_length_a 4.044
_cell_length_b 4.044
_cell_length_c 9.234
_cell_angle_alpha 90.00
_cell_angle_beta 90.00
_cell_angle_gamma 90.00
loop_
_atom_site_label
_atom_site_fract_x
_atom_site_fract_y
_atom_site_fract_z
Pu1 0.000 0.500 0.236
Pu2 0.500 0.000 0.764
Zn1 0.000 0.000 0.500
Ni1 0.000 0.500 0.891
Ni2 0.500 0.000 0.109
Ni3 0.500 0.500 0.500
P1 0.000 0.000 0.000
P2 0.000 0.500 0.647
P3 0.500 0.000 0.353
P4 0.500 0.500 0.000
```

---

- density of states at the Fermi level of number 6 (Pu2ZnNi3P4)?
  19.8 states/eV per cell

---

- Number 2 is which compound?
  TbPuNi2P2

---

- size of the total moment of number 5 (YPuNi2P2)?
  5.23 μB per formula unit

---

- Among the records above, which one has the highest DFT total energy?
  TbPuNi2P2